(1)
Sr2ReCl: PBEsol geometry, meta-GGA SCAN.

E_form (uncorrected), eV per atom: -0.01
Space group: No. 123
VASP energy, eV/atom: -30.919
DOS(E_F), states/eV/atom: 0.98
Total magnetic moment, μB/f.u.: 0.00
Energy above the most stable polymorph in this dataset, eV/atom: 0.0254

a = 5.5630 Å, b = 5.5630 Å, c = 3.1023 Å
α = 90.00°, β = 90.00°, γ = 90.00°
With the nearest neighbours (Å) after each atom.
Positions (direct):
Sr 0.0000 0.5000 0.0000  2 Sr 3.10, 4 Cl 3.18, 4 Re 3.18
Sr 0.5000 0.0000 0.0000  2 Sr 3.10, 4 Cl 3.18, 4 Re 3.18
Re 0.0000 0.0000 0.5000  2 Re 3.10, 8 Sr 3.18
Cl 0.5000 0.5000 0.5000  2 Cl 3.10, 8 Sr 3.18

---

(2)
Ta2ReCl: PBEsol geometry, meta-GGA SCAN.

E_form (uncorrected), eV per atom: 0.75
Space group: No. 47
VASP energy, eV/atom: -52.310
DOS(E_F), states/eV/atom: 0.78
Total magnetic moment, μB/f.u.: 0.00
Energy above the most stable polymorph in this dataset, eV/atom: 0.0000

a = 3.0730 Å, b = 4.3791 Å, c = 4.8188 Å
α = 90.00°, β = 90.00°, γ = 90.00°
With the nearest neighbours (Å) after each atom.
Positions (direct):
Ta 0.0000 0.0000 0.0000  4 Cl 2.67, 4 Ta 2.86
Ta 0.5000 0.0000 0.5000  4 Re 2.67, 4 Ta 2.86
Re 0.0000 0.5000 0.5000  4 Ta 2.67, 4 Cl 2.86
Cl 0.5000 0.5000 0.0000  4 Ta 2.67, 4 Re 2.86

---

(3)
Ta2ReCl: PBEsol geometry, meta-GGA SCAN.

E_form (uncorrected), eV per atom: 0.79
Space group: No. 119
VASP energy, eV/atom: -52.270
DOS(E_F), states/eV/atom: 0.93
Total magnetic moment, μB/f.u.: 0.00
Energy above the most stable polymorph in this dataset, eV/atom: 0.0395

a = 5.4242 Å, b = 5.4242 Å, c = 5.4242 Å
α = 140.05°, β = 140.05°, γ = 57.77°
With the nearest neighbours (Å) after each atom.
Positions (direct):
Ta 0.0000 0.0000 0.0000  4 Cl 2.62
Ta 0.7500 0.2500 0.5000  4 Re 2.62
Re 0.2500 0.7500 0.5000  4 Ta 2.62
Cl 0.5000 0.5000 0.0000  4 Ta 2.62